Na2TlF2 | PBE-GGA | relaxed

## Properties
ΔE_f (raw): -1.861 eV/atom
Energy: -0.265 Ry per atom

```
data_Na2TlF2
_chemical_formula_sum 'Na4 Tl2 F4'
_cell_length_a 4.230
_cell_length_b 4.230
_cell_length_c 11.838
_cell_angle_alpha 90.00
_cell_angle_beta 90.00
_cell_angle_gamma 90.00
_symmetry_space_group_name_H-M 'I 4/m m m'
_symmetry_Int_Tables_number 139
_symmetry_space_group_name_Hall '-I 4 2'
loop_
_atom_site_label
_atom_site_type_symbol
_atom_site_fract_x
_atom_site_fract_y
_atom_site_fract_z
Na1 Na 0.000 0.000 0.192
Tl1 Tl 0.000 0.000 0.500
F1 F 0.000 0.500 0.250
```


NaTl2F8 | PBE-GGA | relaxed

## Properties
ΔE_f (raw): -1.788 eV/atom
Energy: -0.272 Ry per atom

```
data_NaTl2F8
_chemical_formula_sum 'Na2 Tl4 F16'
_cell_length_a 6.874
_cell_length_b 10.594
_cell_length_c 4.218
_cell_angle_alpha 90.00
_cell_angle_beta 96.74
_cell_angle_gamma 90.00
_symmetry_space_group_name_H-M 'C 1 2/m 1'
_symmetry_Int_Tables_number 12
_symmetry_space_group_name_Hall '-C 2y'
loop_
_atom_site_label
_atom_site_type_symbol
_atom_site_fract_x
_atom_site_fract_y
_atom_site_fract_z
Na1 Na 0.000 0.000 0.000
Tl1 Tl 0.000 0.308 0.500
F1 F 0.000 0.238 0.000
F2 F 0.083 0.500 0.821
F3 F 0.201 0.129 0.544
```


NaTl2F4 | PBE-GGA | relaxed

## Properties
ΔE_f (raw): -1.952 eV/atom
Energy: -0.286 Ry per atom

```
data_NaTl2F4
_chemical_formula_sum 'Na2 Tl4 F8'
_cell_length_a 6.574
_cell_length_b 6.499
_cell_length_c 7.303
_cell_angle_alpha 90.00
_cell_angle_beta 116.51
_cell_angle_gamma 90.00
_symmetry_space_group_name_H-M 'P 1 21/m 1'
_symmetry_Int_Tables_number 11
_symmetry_space_group_name_Hall '-P 2yb'
loop_
_atom_site_label
_atom_site_type_symbol
_atom_site_fract_x
_atom_site_fract_y
_atom_site_fract_z
Na1 Na 0.069 0.250 0.163
Tl1 Tl 0.175 0.750 0.477
Tl2 Tl 0.457 0.250 0.905
F1 F 0.103 0.519 0.708
F2 F 0.196 0.750 0.164
F3 F 0.443 0.250 0.277
```


Question: Number 1 is which compound?
Answer: Na2TlF2


Question: Which value of ΔE_f (raw) does entry 2 give?
Answer: -1.788 eV/atom


Question: Which of these has the lowest ΔE_f (raw)?
Answer: NaTl2F4